(1)
A relaxed ZrRhPb2 crystal, computed with GGA-PBE.

Cell and atoms, written as CIF:
```
data_ZrRhPb2
_symmetry_space_group_name_H-M 'P 1'
_symmetry_Int_Tables_number 1
_cell_length_a 4.9658
_cell_length_b 4.9658
_cell_length_c 4.9658
_cell_angle_alpha 60.00
_cell_angle_beta 60.00
_cell_angle_gamma 60.00
loop_
_symmetry_equiv_pos_as_xyz
'x,y,z'
loop_
_atom_site_label
_atom_site_type_symbol
_atom_site_fract_x
_atom_site_fract_y
_atom_site_fract_z
Zr1 Zr 0.0000 0.0000 0.0000
Rh1 Rh 0.5000 0.5000 0.5000
Pb1 Pb 0.7500 0.7500 0.7500
Pb2 Pb 0.2500 0.2500 0.2500
```

- Volume: 86.59 Å³ per cell
- Formation enthalpy at 0 K: 0.074 eV per atom
- Crystal system: cubic

=====

(2)
A relaxed Zr3RhPb crystal, computed with GGA-PBE.

Cell and atoms, written as CIF:
```
data_Zr3RhPb
_symmetry_space_group_name_H-M 'P 1'
_symmetry_Int_Tables_number 1
_cell_length_a 5.0443
_cell_length_b 5.0443
_cell_length_c 5.0443
_cell_angle_alpha 90.00
_cell_angle_beta 90.00
_cell_angle_gamma 90.00
loop_
_symmetry_equiv_pos_as_xyz
'x,y,z'
loop_
_atom_site_label
_atom_site_type_symbol
_atom_site_fract_x
_atom_site_fract_y
_atom_site_fract_z
Pb1 Pb 0.5000 0.5000 0.5000
Zr1 Zr 0.0000 0.0000 0.5000
Zr2 Zr 0.5000 0.0000 0.0000
Zr3 Zr 0.0000 0.5000 0.0000
Rh1 Rh 0.0000 0.0000 0.0000
```

- Volume: 128.35 Å³ per cell
- Formation enthalpy at 0 K: 0.026 eV per atom
- Crystal system: cubic
- Excess energy over the best structure of this formula in the dataset: 0.000 eV per atom